{
  "formula": "Ac2TlAs3Pt4",
  "functional": "PBE-GGA",
  "state": "optimized geometry",
  "lattice_angstrom": [[4.4957, 0.0000, 0.0000], [0.0000, 4.4957, 0.0000], [0.0000, 0.0000, 10.8375]],
  "species": ["Ac", "Ac", "Tl", "As", "As", "As", "Pt", "Pt", "Pt", "Pt"],
  "fractional_positions": [[0.0000, 0.5000, 0.2361], [0.5000, 0.0000, 0.7639], [0.0000, 0.0000, 0.5000], [0.0000, 0.5000, 0.8778], [0.5000, 0.0000, 0.1222], [0.5000, 0.5000, 0.5000], [0.0000, 0.0000, 0.0000], [0.0000, 0.5000, 0.6510], [0.5000, 0.0000, 0.3490], [0.5000, 0.5000, 0.0000]],
  "mass_density_g_cm3": 12.6,
  "sg": "P-4m2 (115)",
  "total_energy_ev_per_atom": -5.671,
  "formation_energy_ev_per_atom": -0.802,
  "volume_a3_per_atom": 21.90,
  "magnetic_moment_mub_per_fu": 0.00
}